1.
Here is an optimized crystal structure of ScCo2HRu from Alexandria via LeMat-Bulk. Energies are from GGA-PBE.

Cell lengths 3.778, 3.778, 3.887 Å; angles 90.00, 90.00, 90.00 degrees
Space group P4/mmm (No. 123)
Unique sites:
Sc 0.000 0.000 0.000 (multiplicity 1)
Co 0.000 0.500 0.500 (multiplicity 2)
H 0.500 0.500 0.500 (multiplicity 1)
Ru 0.500 0.500 0.000 (multiplicity 1)

Computed properties:
As for the total energy: -6.745 eV per atom.

2.
Here is an optimized crystal structure of KDyP2S8 from Alexandria via LeMat-Bulk. Energies are from GGA-PBE.

Cell lengths 6.1451, 6.1451, 9.4073 Å; angles 90.00, 90.00, 120.00 degrees
Space group P-3 (No. 147)
Unique sites:
K 0.0000 0.0000 0.0000 (multiplicity 1)
Dy 0.0000 0.0000 0.5000 (multiplicity 1)
P 0.3333 0.6667 0.7354 (multiplicity 2)
S 0.0000 0.3598 0.6761 (multiplicity 6)
S 0.3333 0.6667 0.9522 (multiplicity 2)

Computed properties:
The formation energy without anion corrections comes out at -583 meV per atom.